VASP calculation (PBE) on a relaxed Li5ZnRh crystal.

```
Li5ZnRh
1.0
3.5561 -3.1430 0.0000
3.5561 3.1430 0.0000
-0.0599 0.0000 10.0202
Li Zn Rh
10 2 2
Direct
0.0441 0.3434 0.6000
0.0452 0.3482 0.8978
0.1753 0.8247 0.7500
0.3434 0.0441 0.1000
0.3482 0.0452 0.3978
0.6518 0.9548 0.6022
0.6566 0.9559 0.9000
0.8247 0.1753 0.2500
0.9548 0.6518 0.1022
0.9559 0.6566 0.4000
0.4261 0.5739 0.2500
0.5739 0.4261 0.7500
0.5000 0.5000 0.0000
0.5000 0.5000 0.5000
```

For the density of states at the Fermi level, the calculation gives 0.339 states/eV per atom. The volume is 16.00 A^3/atom. The calculation puts the total energy at -2.719 eV per atom.